{"formula": "La2InSe", "functional": "PBEsol", "state": "relaxed", "e_form_raw_ev_per_atom": -1.1605, "crystal_system": "trigonal", "e_above_lowest_polymorph_ev_per_atom": 0.0000, "sg": "R-3m (166)", "total_energy_ev_per_atom": -5.542, "lattice": [[-1.3871, -1.6601, 3.5936], [2.7331, -1.2337, 2.9330], [0.2204, 6.3099, 5.4480]], "species": ["In", "Se", "La", "La"], "frac_coords": [[0.0000, 0.0000, 0.0000], [0.5000, 0.5000, 0.5000], [0.7589, 0.7589, 0.7234], [0.2411, 0.2411, 0.2766]]}